1.
An optimized crystal structure of Na2HAu, computed with PBE-GGA.

Cell lengths 5.5900, 3.2195, 7.8859 Å; angles 90.00, 103.59, 90.00 degrees
Closest atoms and distances in Å follow each position.
Space group Cm (No. 8)
One atom of each set of equivalent atoms:
Na (0.0000, 0.0000, 0.0000) (multiplicity 2)  3 H 2.35
Na (0.2069, 0.0000, 0.6238) (multiplicity 2)  3 H 2.36-2.37
H (0.1043, 0.5000, 0.8130) (multiplicity 2)  6 Na 2.35-2.37
Au (0.2703, 0.5000, 0.3122) (multiplicity 2)  6 Na 3.03, 6 Au 3.22-3.23

Output
energy above the most stable polymorph in this dataset = 26 meV/atom


2.
An optimized crystal structure of NaH4Au, computed with PBE-GGA.

Cell lengths 4.5429, 5.1870, 6.7488 Å; angles 90.00, 111.68, 90.00 degrees
Closest atoms and distances in Å follow each position.
Space group P2/c (No. 13)
One atom of each set of equivalent atoms:
Na (0.0000, 0.2491, 0.2500) (multiplicity 2)  8 H 2.37-2.50
H (0.2763, 0.0265, 0.5960) (multiplicity 4)  1 Au 1.64
H (0.2767, 0.4780, 0.5958) (multiplicity 4)  1 Au 1.64
Au (0.5000, 0.2522, 0.7500) (multiplicity 2)  4 H 1.64

Output
energy above the most stable polymorph in this dataset = 6 meV/atom


3.
An optimized crystal structure of NaH3Au, computed with PBE-GGA.

Cell lengths 3.7519, 3.7519, 3.7519 Å; angles 90.00, 90.00, 90.00 degrees
Closest atoms and distances in Å follow each position.
Space group Pm-3m (No. 221)
One atom of each set of equivalent atoms:
Na (0.0000, 0.0000, 0.0000) (multiplicity 1)  12 H 2.65
H (0.0000, 0.5000, 0.5000) (multiplicity 3)  2 Au 1.88
Au (0.5000, 0.5000, 0.5000) (multiplicity 1)  6 H 1.88

Output
energy above the most stable polymorph in this dataset = 49 meV/atom


4.
An optimized crystal structure of Na2HAu, computed with PBE-GGA.

Cell lengths 3.6330, 3.6330, 20.6034 Å; angles 90.00, 90.00, 120.00 degrees
Closest atoms and distances in Å follow each position.
Space group R-3m (No. 166, hexagonal axes)
One atom of each set of equivalent atoms:
Na (0.0000, 0.0000, 0.2324) (multiplicity 6)  3 H 2.50
H (0.0000, 0.0000, 0.5000) (multiplicity 3)  6 Na 2.50
Au (0.0000, 0.0000, 0.0000) (multiplicity 3)  6 Na 2.95

Output
energy above the most stable polymorph in this dataset = 21 meV/atom


5.
An optimized crystal structure of Na3H12Au5, computed with PBE-GGA.

Cell lengths 12.3312, 12.3312, 12.3312 Å; angles 90.00, 90.00, 90.00 degrees
Closest atoms and distances in Å follow each position.
Space group Ia-3d (No. 230)
One atom of each set of equivalent atoms:
Na (0.0000, 0.2500, 0.1250) (multiplicity 24)  8 H 2.42-2.68
H (0.0327, 0.0358, 0.6391) (multiplicity 96)  2 Au 1.82-1.83
Au (0.0000, 0.0000, 0.0000) (multiplicity 16)  6 H 1.82
Au (0.0000, 0.2500, 0.3750) (multiplicity 24)  4 H 1.83

Output
calculated total energy = -472.0 eV per cell


6.
An optimized crystal structure of NaH4Au, computed with PBE-GGA.

Cell lengths 6.3188, 5.7778, 9.1804 Å; angles 90.00, 118.68, 90.00 degrees
Closest atoms and distances in Å follow each position.
Space group P2_1/c (No. 14)
One atom of each set of equivalent atoms:
Na (0.2261, 0.1219, 0.3063) (multiplicity 4)  6 H 2.34-2.57
H (0.0558, 0.6758, 0.5935) (multiplicity 4)  1 Au 1.65
H (0.1894, 0.5258, 0.2941) (multiplicity 4)  1 Au 1.65
H (0.3099, 0.6940, 0.9989) (multiplicity 4)  1 Au 1.64
H (0.4356, 0.1162, 0.6877) (multiplicity 4)  1 Au 1.66
Au (0.2480, 0.6062, 0.1443) (multiplicity 4)  4 H 1.64-1.66

Output
energy above the most stable polymorph in this dataset = 0 meV/atom


7.
An optimized crystal structure of NaH3Au, computed with PBE-GGA.

Cell lengths 3.5823, 3.5823, 10.1260 Å; angles 90.00, 90.00, 120.00 degrees
Closest atoms and distances in Å follow each position.
Space group P6_3/mmc (No. 194)
One atom of each set of equivalent atoms:
Na (0.0000, 0.0000, 0.0000) (multiplicity 2)  6 H 2.24
H (0.0000, 0.0000, 0.2500) (multiplicity 2)  3 Au 2.07
H (0.3333, 0.6667, 0.0862) (multiplicity 4)  1 Au 1.66
Au (0.3333, 0.6667, 0.2500) (multiplicity 2)  2 H 1.66

Output
energy above the most stable polymorph in this dataset = 114 meV/atom


8.
An optimized crystal structure of Na2HAu, computed with PBE-GGA.

Cell lengths 2.9588, 2.9588, 7.4976 Å; angles 90.00, 90.00, 90.00 degrees
Closest atoms and distances in Å follow each position.
Space group P4/mmm (No. 123)
One atom of each set of equivalent atoms:
Na (0.0000, 0.0000, 0.1942) (multiplicity 2)  4 H 2.55
H (0.5000, 0.5000, 0.0000) (multiplicity 1)  8 Na 2.55
Au (0.5000, 0.5000, 0.5000) (multiplicity 1)  4 Au 2.96, 8 Na 3.10

Output
energy above the most stable polymorph in this dataset = 0 meV/atom


9.
An optimized crystal structure of NaH3Au, computed with PBE-GGA.

Cell lengths 3.6753, 5.3664, 8.1268 Å; angles 79.07, 85.67, 89.92 degrees
Closest atoms and distances in Å follow each position.
Space group P-1 (No. 2)
One atom of each set of equivalent atoms:
Na (0.2191, 0.3291, 0.1957) (multiplicity 2)  5 H 2.28-2.37
H (0.0317, 0.4458, 0.5335) (multiplicity 2)  1 H 0.77
H (0.2656, 0.4094, 0.9053) (multiplicity 2)  1 Au 1.66
H (0.2951, 0.9133, 0.7168) (multiplicity 2)  1 Au 1.66
Au (0.2787, 0.1539, 0.8183) (multiplicity 2)  2 H 1.66

Output
energy above the most stable polymorph in this dataset = 0 meV/atom


10.
An optimized crystal structure of NaH3Au, computed with PBE-GGA.

Cell lengths 5.0729, 5.0729, 15.1171 Å; angles 90.00, 90.00, 120.00 degrees
Closest atoms and distances in Å follow each position.
Space group R-3m (No. 166, hexagonal axes)
One atom of each set of equivalent atoms:
Na (0.0000, 0.0000, 0.1089) (multiplicity 6)  9 H 2.57-2.65
H (0.0152, 0.5076, 0.0816) (multiplicity 18)  1 Au 1.77
Au (0.0000, 0.0000, 0.3110) (multiplicity 6)  3 H 1.77

Output
energy above the most stable polymorph in this dataset = 224 meV/atom


11.
An optimized crystal structure of NaH3Au, computed with PBE-GGA.

Cell lengths 10.4833, 3.5527, 8.3193 Å; angles 90.00, 124.22, 90.00 degrees
Closest atoms and distances in Å follow each position.
Space group Cm (No. 8)
One atom of each set of equivalent atoms:
Na (0.0000, 0.0000, 0.0000) (multiplicity 2)  6 H 2.16-2.40
Na (0.1744, 0.0000, 0.5039) (multiplicity 2)  9 H 2.39-2.65
H (0.0411, 0.5000, 0.2176) (multiplicity 2)  1 Au 1.66
H (0.2382, 0.0000, 0.2453) (multiplicity 2)  1 Au 1.65
H (0.2568, 0.5000, 0.7337) (multiplicity 2)  1 Au 1.65
H (0.3137, 0.5000, 0.4509) (multiplicity 2)  1 H 0.76
H (0.3609, 0.5000, 0.5614) (multiplicity 2)  1 H 0.76
H (0.4851, 0.0000, 0.8212) (multiplicity 2)  1 Au 1.66
Au (0.1267, 0.5000, 0.7869) (multiplicity 2)  2 H 1.65-1.66
Au (0.3838, 0.0000, 0.2202) (multiplicity 2)  2 H 1.65-1.66

Output
energy above the most stable polymorph in this dataset = 18 meV/atom


12.
An optimized crystal structure of Na3H2Au, computed with PBE-GGA.

Cell lengths 5.2950, 14.4575, 6.9944 Å; angles 90.00, 90.00, 90.00 degrees
Closest atoms and distances in Å follow each position.
Space group Ibam (No. 72)
One atom of each set of equivalent atoms:
Na (0.0000, 0.0000, 0.2500) (multiplicity 4)  4 H 2.38
Na (0.0000, 0.3258, 0.2500) (multiplicity 8)  2 H 2.70
H (0.2436, 0.0668, 0.0000) (multiplicity 8)  1 Au 1.67
Au (0.0000, 0.5000, 0.0000) (multiplicity 4)  2 H 1.67

Output
calculated total energy = -58.5 eV per cell